Sr2Cd3InAu2 after structural relaxation, computed with GGA-PBE.

abc: 5.8679 5.8679 8.2032
angles: 90.03 90.03 46.35
Closest atoms and distances in Å follow each position.
Sites, in units of the cell vectors:
Au1 0.2211 0.2211 0.2473  2 In 2.92, 4 Cd 2.93-2.97, 3 Sr 3.12-3.24
Au2 0.7765 0.7765 0.7508  1 In 2.89, 5 Cd 2.90-2.96, 3 Sr 3.14-3.23
Cd1 0.3625 0.3625 0.9422  3 Au 2.93-2.94, 1 In 3.15, 1 Cd 3.18
Cd2 0.3600 0.3600 0.5547  3 Au 2.93-2.96, 2 Cd 3.14-3.18
Cd3 0.6391 0.6391 0.4469  3 Au 2.90-2.97, 1 Cd 3.14, 1 In 3.21
Sr1 0.9320 0.9320 0.2549  3 Au 3.12-3.24, 2 Cd 3.46
Sr2 0.0674 0.0674 0.7479  3 Au 3.14-3.23, 2 Cd 3.47, 2 In 3.51
In1 0.6415 0.6415 0.0553  3 Au 2.89-2.92, 2 Cd 3.15-3.21

Results
Calculated volume = 204.4 Å³/f.u.
E_tot = -2.4203 eV/atom
Mass density = 8298 kg/m3

Tb3Cd3In2Au after structural relaxation, computed with GGA-PBE.

abc: 7.5205 7.5205 4.5377
angles: 90.00 90.00 120.00
Closest atoms and distances in Å follow each position.
Sites, in units of the cell vectors:
In1 0.6667 0.3333 0.5000  3 Cd 2.91, 6 Tb 3.22
In2 0.3333 0.6667 0.5000  3 Cd 2.91, 6 Tb 3.22
Cd1 0.7574 0.0000 0.5000  2 In 2.91, 2 Au 2.91, 2 Cd 3.16
Cd2 0.0000 0.7574 0.5000  2 In 2.91, 2 Au 2.91, 2 Cd 3.16
Cd3 0.2426 0.2426 0.5000  2 In 2.91, 2 Au 2.91, 2 Cd 3.16
Tb1 0.4056 0.0000 0.0000  1 Au 3.05, 4 In 3.22
Tb2 0.5943 0.5944 0.0000  1 Au 3.05, 4 In 3.22
Tb3 0.0000 0.4056 0.0000  1 Au 3.05, 4 In 3.22
Au1 0.0000 0.0000 0.0000  6 Cd 2.91, 3 Tb 3.05

Results
Calculated volume = 222.3 Å³/f.u.
E_tot = -3.3103 eV/atom
Mass density = 9269 kg/m3

CdIr2Au after structural relaxation, computed with GGA-PBE.

abc: 4.5591 4.5591 4.5591
angles: 60.00 60.00 60.00
Closest atoms and distances in Å follow each position.
Sites, in units of the cell vectors:
Ir1 0.0000 0.0000 0.0000  4 Cd 2.79, 4 Ir 2.79
Ir2 0.7500 0.7500 0.7500  4 Au 2.79, 4 Ir 2.79
Cd1 0.2500 0.2500 0.2500  4 Ir 2.79, 4 Au 2.79
Au1 0.5000 0.5000 0.5000  4 Ir 2.79, 4 Cd 2.79

Results
Calculated volume = 67.0 Å³/f.u.
Mass density = 17193 kg/m3
Formation enthalpy at 0 K = 0.428 eV per atom

CdIrAu after structural relaxation, computed with GGA-PBE.

abc: 4.4472 4.4472 4.4472
angles: 60.00 60.00 60.00
Closest atoms and distances in Å follow each position.
Sites, in units of the cell vectors:
Au1 0.2500 0.2500 0.2500  4 Ir 2.72
Ir1 0.0000 0.0000 0.0000  4 Au 2.72, 4 Cd 2.72
Cd1 0.7500 0.7500 0.7500  4 Ir 2.72

Results
Excess energy over the best structure of this formula in the dataset = 0.000 eV/atom
Calculated volume = 62.2 Å³/f.u.
Mass density = 13393 kg/m3
Formation enthalpy at 0 K = 0.486 eV per atom

Pr3MgCd2Ir2Au after structural relaxation, computed with GGA-PBE.

abc: 4.0828 7.7299 7.7299
angles: 120.78 90.00 90.00
Closest atoms and distances in Å follow each position.
Sites, in units of the cell vectors:
Pr1 0.0000 0.9961 0.4164  4 Ir 3.06-3.13, 1 Au 3.18, 2 Cd 3.24
Pr2 0.0000 0.5886 0.5886  4 Ir 3.08, 1 Au 3.26, 2 Mg 3.27, 4 Cd 3.44
Pr3 0.0000 0.4164 0.9961  4 Ir 3.06-3.13, 1 Au 3.18, 2 Cd 3.24
Au1 0.0000 0.0157 0.0157  2 Mg 2.74, 4 Cd 2.89
Ir1 0.5000 0.3295 0.6537  1 Mg 2.83, 2 Cd 2.95-2.96, 6 Pr 3.06-3.13
Ir2 0.5000 0.6537 0.3295  1 Mg 2.83, 2 Cd 2.95-2.96, 6 Pr 3.06-3.13
Cd1 0.5000 0.7447 0.0010  2 Au 2.89, 2 Ir 2.95-2.96
Cd2 0.5000 0.0010 0.7447  2 Au 2.89, 2 Ir 2.95-2.96
Mg1 0.5000 0.2543 0.2543  2 Au 2.74, 2 Ir 2.83

Results
Calculated volume = 209.6 Å³/f.u.
E_tot = -4.8781 eV/atom
Mass density = 9929 kg/m3

CdMoIrAu after structural relaxation, computed with GGA-PBE.

abc: 4.5869 4.5869 4.5869
angles: 60.00 60.00 60.00
Closest atoms and distances in Å follow each position.
Sites, in units of the cell vectors:
Ir1 0.2500 0.2500 0.2500  4 Mo 2.81, 4 Cd 2.81
Au1 0.7500 0.7500 0.7500  4 Cd 2.81, 4 Mo 2.81
Mo1 0.0000 0.0000 0.0000  4 Ir 2.81, 4 Au 2.81
Cd1 0.5000 0.5000 0.5000  4 Au 2.81, 4 Ir 2.81

Results
Excess energy over the best structure of this formula in the dataset = 0.000 eV/atom
Calculated volume = 68.2 Å³/f.u.
Mass density = 14540 kg/m3
Formation enthalpy at 0 K = 0.319 eV per atom